No. 1
9
Lattice="-3.3753 -1.6825 -2.2720 2.4664 -3.4820 -1.0856 -2.9857 -4.5478 7.8033" Properties=species:S:1:pos:R:3 comment="Ba2AcCeO5, relaxed, DFT GGA-PBE" spacegroup="No. 123" dos_ef_per_ev_fu=4.47 formation_energy_uncorrected_ev_per_fu=-25.4 pbc="T T T"
O -0.2596 -4.0149 3.3589
O -2.2467 -3.4222 5.8720
O -0.7390 -1.1256 1.9313
O -0.4545 -2.5822 -1.6788
O -3.1805 -3.1151 2.7656
Ce -1.4928 -2.2739 3.9017
Ac 0.0000 0.0000 0.0000
Ba -2.6005 -5.8511 3.9300
Ba -1.2941 -3.8612 0.5157



No. 2
4
Lattice="3.1901 0.0000 0.0000 0.0000 4.3650 0.0000 0.0000 0.0000 4.3650" Properties=species:S:1:pos:R:3 comment="HfFeRu2, relaxed, DFT GGA-PBE" spacegroup="No. 123" dos_ef_per_ev_fu=3.40 total_energy_ev_per_atom=-9.522 pbc="T T T"
Ru 0.0000 0.0000 2.1825
Ru 0.0000 2.1825 0.0000
Fe 1.5950 2.1825 2.1825
Hf 1.5950 0.0000 0.0000



No. 3
4
Lattice="0.0000 3.8915 3.8915 3.8915 0.0000 3.8915 3.8915 3.8915 0.0000" Properties=species:S:1:pos:R:3 comment="ScIn2I, relaxed, DFT GGA-PBE" spacegroup="No. 225" dos_ef_per_ev_fu=4.52 formation_energy_uncorrected_ev_per_fu=0.9 pbc="T T T"
Sc 0.0000 0.0000 0.0000
In 5.8373 5.8373 5.8373
In 1.9458 1.9458 1.9458
I 3.8915 3.8915 3.8915